(1)
A relaxed Mn4NbCr crystal, computed with PBE.

Cell lengths 4.7266, 4.7266, 4.7266 Å; angles 60.00, 60.00, 60.00 degrees
Each line ends with the local moment (μB).
Fractional positions:
Cr  0.0000  0.0000  0.0000  1.95
Nb  0.2500  0.2500  0.2500  0.16
Mn  0.6252  0.6252  0.1245  -0.25
Mn  0.6252  0.1245  0.6252  -0.25
Mn  0.6252  0.6252  0.6252  -0.25
Mn  0.1245  0.6252  0.6252  -0.25

Results
The formation energy is 0.01 eV per formula unit. The value obtained for the total energy is -9.393 eV/atom. As for the space-group type: F-43m, No. 216.

(2)
A relaxed LiLa2BiS5 crystal, computed with PBE.

Cell lengths 4.1707, 8.5072, 12.6797 Å; angles 90.00, 90.00, 104.19 degrees
Fractional positions:
Li  0.7813  0.5627  0.5364
Li  0.2187  0.4373  0.0364
La  0.8501  0.7002  0.7942
La  0.1119  0.2238  0.6853
La  0.1499  0.2998  0.2942
La  0.8881  0.7762  0.1853
Bi  0.5395  0.0789  0.9611
Bi  0.4605  0.9211  0.4611
S  0.3680  0.7361  0.9998
S  0.6782  0.3563  0.8379
S  0.4838  0.9676  0.7614
S  0.2820  0.5640  0.6607
S  0.9403  0.8807  0.5872
S  0.6320  0.2639  0.4998
S  0.3218  0.6437  0.3379
S  0.5162  0.0324  0.2614
S  0.7180  0.4360  0.1607
S  0.0597  0.1193  0.0872

Results
The value obtained for the total energy is -5.472 eV/atom. As for the space-group type: Cmc2_1, No. 36. The raw formation energy is -1.4405 eV per atom.

(3)
A relaxed TbScCoNi crystal, computed with PBE.

Cell lengths 4.6137, 4.6137, 4.6137 Å; angles 60.00, 60.00, 60.00 degrees
Fractional positions:
Sc  0.0000  0.0000  0.0000
Ni  0.2500  0.2500  0.2500
Tb  0.5000  0.5000  0.5000
Co  0.7500  0.7500  0.7500

Results
The formation energy is -1.19 eV per formula unit. The value obtained for the total energy is -6.261 eV/atom. As for the space-group type: F-43m, No. 216.

(4)
A relaxed NbBiRh crystal, computed with PBE.

Cell lengths 6.1007, 3.2430, 6.4328 Å; angles 90.00, 90.16, 90.00 degrees
Fractional positions:
Nb  0.1542  0.0000  0.7186
Nb  0.6500  0.0000  0.7182
Bi  0.4005  0.5000  0.3824
Bi  0.9004  0.0000  0.3156
Rh  0.9026  0.5000  0.9428
Rh  0.4028  0.5000  0.9423

Results
The formation energy is -0.18 eV per formula unit. The value obtained for the total energy is -7.160 eV/atom. As for the space-group type: Pm, No. 6.

(5)
A relaxed NaTlGa2I8 crystal, computed with PBE.

Cell lengths 10.0216, 10.0216, 10.0216 Å; angles 99.82, 99.82, 131.21 degrees
Fractional positions:
Na  0.2500  0.7500  0.5000
Tl  0.0000  0.0000  0.0000
Ga  0.7500  0.2500  0.5000
Ga  0.5000  0.5000  0.0000
I  0.3977  0.0560  0.3416
I  0.3236  0.4894  0.1658
I  0.3236  0.1577  0.8342
I  0.7144  0.0560  0.6584
I  0.8423  0.6764  0.1658
I  0.9440  0.2856  0.3416
I  0.9440  0.6023  0.6584
I  0.5106  0.6764  0.8342

Results
The value obtained for the total energy is -2.488 eV/atom. As for the space-group type: I-4m2, No. 119. The raw formation energy is -0.6426 eV per atom.

(6)
A relaxed LiUPd4 crystal, computed with PBE.

Cell lengths 5.3289, 5.3289, 5.3289 Å; angles 60.00, 60.00, 60.00 degrees
Each line ends with the local moment (μB).
Fractional positions:
U  0.0000  0.0000  0.0000  2.26
Pd  0.6246  0.6246  0.1263  -0.10
Pd  0.6246  0.1263  0.6246  -0.10
Pd  0.6246  0.6246  0.6246  -0.10
Pd  0.1263  0.6246  0.6246  -0.10
Li  0.2500  0.2500  0.2500  0.02

Results
The formation energy is -1.92 eV per formula unit. The value obtained for the total energy is -5.982 eV/atom. As for the space-group type: F-43m, No. 216.

(7)
A relaxed AcGdCdSi crystal, computed with PBE.

Cell lengths 5.3882, 5.3882, 5.3882 Å; angles 60.00, 60.00, 60.00 degrees
Each line ends with the local moment (μB).
Fractional positions:
Ac  0.5000  0.5000  0.5000  0.04
Gd  0.0000  0.0000  0.0000  7.08
Si  0.7500  0.7500  0.7500  -0.04
Cd  0.2500  0.2500  0.2500  0.00

Results
The value obtained for the total energy is -6.445 eV/atom. As for the space-group type: F-43m, No. 216. The raw formation energy is -0.3136 eV per atom.

(8)
A relaxed SmY3Pu2S6 crystal, computed with PBE.

Cell lengths 6.8212, 6.8212, 6.8584 Å; angles 99.52, 99.52, 120.03 degrees
Each line ends with the local moment (μB).
Fractional positions:
Sm  0.0000  0.0000  0.0000  0.06
Y  0.1656  0.8344  0.5000  0.02
Y  0.8344  0.1656  0.5000  0.02
Y  0.5000  0.5000  0.5000  0.02
Pu  0.3333  0.6667  0.0000  5.36
Pu  0.6667  0.3333  0.0000  5.36
S  0.9150  0.5782  0.7453  -0.04
S  0.7481  0.7481  0.2547  -0.04
S  0.0850  0.4218  0.2547  -0.04
S  0.5782  0.9150  0.7453  -0.04
S  0.2519  0.2519  0.7453  -0.04
S  0.4218  0.0850  0.2547  -0.04

Results
The value obtained for the total energy is -8.413 eV/atom. As for the space-group type: C2/m, No. 12. The raw formation energy is -1.9513 eV per atom.